InSb2Pb | PBE | relaxed

Unit cell a=3.3985 b=5.6093 c=6.2606 alpha=90.00 beta=90.00 gamma=90.00
Closest atoms and distances in Å follow each position.
Space group Pmm2 (No. 25)
Symmetry-distinct sites (fractional):
In  0.0000  0.0000  0.0000 (multiplicity 1)  6 Sb 3.13-3.28, 2 In 3.40
Sb  0.0000  0.0000  0.4994 (multiplicity 1)  2 In 3.13, 4 Pb 3.28, 2 Sb 3.40
Sb  0.5000  0.5000  0.9966 (multiplicity 1)  2 Pb 3.13, 4 In 3.28, 2 Sb 3.40
Pb  0.5000  0.5000  0.4967 (multiplicity 1)  6 Sb 3.13-3.28, 2 Pb 3.40

Calculated values
relative energy among the computed polymorphs: 0 meV per atom
energy relative to the elements, uncorrected: 0.05 eV/atom
magnetization: 0.00 μB per formula unit